No. 1
Below is a relaxed structure of Sc2AgHg6, with properties calculated at the GGA-PBE level.

abc: 6.894 6.894 5.222
angles: 112.00 112.00 71.17
Sites, in units of the cell vectors:
1 Sc 0.176 0.176 0.177
2 Sc 0.824 0.824 0.823
3 Ag 0.500 0.500 0.500
4 Hg 0.019 0.650 0.333
5 Hg 0.311 0.689 0.000
6 Hg 0.350 0.981 0.667
7 Hg 0.650 0.019 0.333
8 Hg 0.689 0.311 0.000
9 Hg 0.981 0.350 0.667

Computed properties:
Space-group type: No. 12

No. 2
Below is a relaxed structure of ScAg2Hg, with properties calculated at the GGA-PBE level.

abc: 5.077 5.077 5.077
angles: 128.30 128.30 76.15
Sites, in units of the cell vectors:
1 Sc 0.000 0.000 0.000
2 Ag 0.500 0.500 0.000
3 Ag 0.750 0.250 0.500
4 Hg 0.250 0.750 0.500

Computed properties:
Space-group type: No. 119

No. 3
Below is a relaxed structure of ScAg2Hg, with properties calculated at the GGA-PBE level.

abc: 4.310 4.310 4.333
angles: 90.00 90.00 90.00
Sites, in units of the cell vectors:
1 Sc 0.000 0.000 0.000
2 Ag 0.000 0.500 0.500
3 Ag 0.500 0.000 0.500
4 Hg 0.500 0.500 0.000

Computed properties:
Space-group type: No. 123

no.,energy relative to the elements (meV/atom),density (g/cm3)
1,-88,11.2
2,-217,9.8
3,-132,9.5